This record from Alexandria via LeMat-Bulk describes a relaxed structure of Bi3MoO7. The functional is PBE+U.

Lattice parameters (Å, degrees): 6.7426 6.7426 7.6649 90.00 90.00 108.00
With the nearest neighbours (Å) after each atom.
Sites, in units of the cell vectors:
Bi1 0.0262 0.5035 0.2567  5 O 2.29-2.53
Bi2 0.0459 0.0459 0.0000  6 O 2.39-2.47
Bi3 0.4965 0.9738 0.2433  5 O 2.29-2.53
Bi4 0.5035 0.0262 0.7433  5 O 2.29-2.53
Bi5 0.9541 0.9541 0.5000  6 O 2.39-2.47
Bi6 0.9738 0.4965 0.7567  5 O 2.29-2.53
Mo1 0.4957 0.4957 0.5000  6 O 1.94-2.08
Mo2 0.5043 0.5043 0.0000  6 O 1.94-2.08
O1 0.1331 0.8669 0.7500  4 Bi 2.40-2.43
O2 0.1388 0.8612 0.2500  4 Bi 2.29-2.47
O3 0.1840 0.4140 0.9613  1 Mo 2.08, 1 Bi 2.29
O4 0.2028 0.4598 0.5392  1 Mo 1.94
O5 0.4140 0.1840 0.0387  1 Mo 2.08, 1 Bi 2.29
O6 0.4375 0.5625 0.2500  2 Mo 2.03
O7 0.4598 0.2028 0.4608  1 Mo 1.94
O8 0.5402 0.7972 0.9608  1 Mo 1.94
O9 0.5625 0.4375 0.7500  2 Mo 2.03
O10 0.5860 0.8160 0.5387  1 Mo 2.08, 1 Bi 2.29
O11 0.7972 0.5402 0.0392  1 Mo 1.94
O12 0.8160 0.5860 0.4613  1 Mo 2.08, 1 Bi 2.29
O13 0.8612 0.1388 0.7500  4 Bi 2.29-2.47
O14 0.8669 0.1331 0.2500  4 Bi 2.40-2.43

Results
**Raw total energy**: -6.25 eV per atom
**N(E_F)**: 0.06 states/eV/f.u.